The following is a DFT calculation (GGA+U) of a geometry-optimized YFeO3 structure.

```
10
Lattice="3.568 0.000 0.000 -1.784 3.090 0.000 0.000 0.000 11.841" Properties=species:S:1:pos:R:3 pbc="T T T"
Y 0.000 0.000 0.000
Y 0.000 0.000 5.920
Fe 0.000 2.060 2.960
Fe 1.784 1.030 8.881
O 0.000 0.000 2.960
O 0.000 0.000 8.881
O 0.000 2.060 1.011
O 0.000 2.060 4.909
O 1.784 1.030 6.931
O 1.784 1.030 10.830
```

electronic total energy: -7.90 eV per atom
space-group type: P6_3/mmc, No. 194
V: 13.055 Å³ per atom